(1)
MgHg: PBEsol geometry, meta-GGA SCAN.

Cell lengths 3.436, 3.436, 3.436 Å; angles 90.00, 90.00, 90.00 degrees
Space group Pm-3m (No. 221)
Asymmetric unit:
Mg (0.000, 0.000, 0.000) (multiplicity 1)
Hg (0.500, 0.500, 0.500) (multiplicity 1)

## Properties
- ΔE_f: -352.1 meV per atom
- Magnetization: 0.00 μB per formula unit

(2)
MgHg3: PBEsol geometry, meta-GGA SCAN.

Cell lengths 8.3357, 8.3357, 8.9243 Å; angles 90.00, 90.00, 120.00 degrees
Space group P6_3cm (No. 185)
Asymmetric unit:
Mg (0.0000, 0.2954, 0.0000) (multiplicity 6)
Hg (0.0000, 0.0000, 0.1729) (multiplicity 2)
Hg (0.0000, 0.3241, 0.3349) (multiplicity 6)
Hg (0.0000, 0.3718, 0.6770) (multiplicity 6)
Hg (0.3333, 0.6667, 0.4904) (multiplicity 4)

## Properties
- ΔE_f: -131.6 meV per atom
- Magnetization: 0.00 μB per formula unit

The highest ΔE_f belongs to which entry?
MgHg3